Record 1
The following is a DFT calculation (PBE) of a relaxed ErPPd crystal.

Calculated values
The calculation puts the raw total energy at -6.33 eV per atom. The calculation puts the total magnetization at 0.0 μB per cell.

a b c (Å): 6.8697 3.9873 7.7417
angles (deg): 90.00 90.00 90.00
With the nearest neighbours (Å) after each atom.
Space group Pnma (No. 62)
Inequivalent atoms, fractional coordinates:
Er 0.0307 0.2500 0.1869 x4  5 P 2.82-2.90, 5 Pd 3.01-3.13
P 0.2500 0.2500 0.8766 x4  4 Pd 2.54-2.77, 3 Er 2.82-2.84
Pd 0.1473 0.2500 0.5612 x4  4 P 2.54-2.77

Record 2
The following is a DFT calculation (PBE) of a relaxed PmErP2 crystal.

Calculated values
The calculation puts the raw total energy at -6.60 eV per atom. The calculation puts the total magnetization at 0.0 μB per cell.

a b c (Å): 4.0526 4.0526 5.7307
angles (deg): 90.00 90.00 90.00
With the nearest neighbours (Å) after each atom.
Space group P4/mmm (No. 123)
Inequivalent atoms, fractional coordinates:
Pm 0.0000 0.0000 0.0000 x1  6 P 2.87
Er 0.5000 0.5000 0.5000 x1  6 P 2.87
P 0.0000 0.0000 0.5000 x1  2 Pm 2.87, 4 Er 2.87
P 0.5000 0.5000 0.0000 x1  2 Er 2.87, 4 Pm 2.87

Record 3
The following is a DFT calculation (PBE) of a relaxed Pr2ErP3 crystal.

Calculated values
The calculation puts the raw total energy at -6.59 eV per atom. The calculation puts the total magnetization at 0.0 μB per cell.

a b c (Å): 4.1256 4.1256 10.0983
angles (deg): 90.00 90.00 120.00
With the nearest neighbours (Å) after each atom.
Space group P-3m1 (No. 164)
Inequivalent atoms, fractional coordinates:
Pr 0.3333 0.6667 0.3273 x2  6 P 2.95
Er 0.0000 0.0000 0.0000 x1  6 P 2.85
P 0.0000 0.0000 0.5000 x1  6 Pr 2.95
P 0.3333 0.6667 0.8457 x2  3 Er 2.85, 3 Pr 2.95

Record 4
The following is a DFT calculation (PBE) of a relaxed ErPS4 crystal.

Calculated values
The calculation puts the raw total energy at -5.43 eV per atom. The calculation puts the total magnetization at 0.0 μB per cell.

a b c (Å): 10.6846 10.6846 18.9552
angles (deg): 90.00 90.00 90.00
With the nearest neighbours (Å) after each atom.
Space group I4_1/acd (No. 142, origin choice 2)
Inequivalent atoms, fractional coordinates:
Er 0.0000 0.2500 0.1250 x8  8 S 2.88-2.89
Er 0.0000 0.2500 0.3750 x8  8 S 2.79-2.99
P 0.0375 0.0000 0.2500 x16  4 S 2.04-2.05
S 0.0665 0.0047 0.8403 x32  1 P 2.04
S 0.0863 0.1131 0.0035 x32  1 P 2.05